# Ti2Zn2P PBE-GGA relaxed
data_Ti2Zn2P
_space_group_name_H-M_alt 'P 4/m b m'
_space_group_IT_number 127
_space_group_name_Hall '-P 4 2ab'
_cell_length_a 6.279
_cell_length_b 6.279
_cell_length_c 3.894
_cell_angle_alpha 90.00
_cell_angle_beta 90.00
_cell_angle_gamma 90.00
loop_
_atom_site_label
_atom_site_type_symbol
_atom_site_fract_x
_atom_site_fract_y
_atom_site_fract_z
_atom_site_occupancy
Ti1 Ti 0.171 0.329 0.000 1
Zn1 Zn 0.133 0.633 0.500 1
P1 P 0.000 0.000 0.500 1
# N(E_F) = 0.64 states/eV/atom
# final energy = -4.849 eV per atom
# relative energy among the computed polymorphs = 0.249 eV per atom
# magnetic moment = 0.0 μB/f.u.
# formation energy = -0.0996 eV per atom

# TbZrGe2O8 PBE-GGA relaxed
data_TbZrGe2O8
_space_group_name_H-M_alt 'I -4 m 2'
_space_group_IT_number 119
_space_group_name_Hall 'I -4 -2'
_cell_length_a 6.975
_cell_length_b 6.975
_cell_length_c 6.415
_cell_angle_alpha 90.00
_cell_angle_beta 90.00
_cell_angle_gamma 90.00
loop_
_atom_site_label
_atom_site_type_symbol
_atom_site_fract_x
_atom_site_fract_y
_atom_site_fract_z
_atom_site_occupancy
Tb1 Tb 0.000 0.000 0.000 1
Zr1 Zr 0.000 0.500 0.750 1
Ge1 Ge 0.000 0.000 0.500 1
Ge2 Ge 0.000 0.500 0.250 1
O1 O 0.000 0.193 0.680 1
O2 O 0.000 0.321 0.056 1
# raw formation energy = -28.0 eV/f.u.
# N(E_F) = 0.86 states/eV/atom
# final energy = -7.506 eV per atom
# magnetic moment = 0.9 μB/f.u.

# LiVTcGe PBE-GGA relaxed
data_LiVTcGe
_space_group_name_H-M_alt 'F -4 3 m'
_space_group_IT_number 216
_space_group_name_Hall 'F -4 2 3'
_cell_length_a 5.998
_cell_length_b 5.998
_cell_length_c 5.998
_cell_angle_alpha 90.00
_cell_angle_beta 90.00
_cell_angle_gamma 90.00
loop_
_atom_site_label
_atom_site_type_symbol
_atom_site_fract_x
_atom_site_fract_y
_atom_site_fract_z
_atom_site_occupancy
Li1 Li 0.000 0.000 0.000 1
V1 V 0.250 0.250 0.250 1
Tc1 Tc 0.000 0.000 0.500 1
Ge1 Ge 0.250 0.250 0.750 1
# N(E_F) = 0.94 states/eV/atom
# final energy = -6.698 eV per atom
# magnetic moment = 0.0 μB/f.u.
# formation energy = -0.1942 eV per atom

# Ca2ZrZn PBE-GGA relaxed
data_Ca2ZrZn
_space_group_name_H-M_alt 'I m m 2'
_space_group_IT_number 44
_cell_length_a 3.486
_cell_length_b 5.432
_cell_length_c 11.663
_cell_angle_alpha 90.00
_cell_angle_beta 90.00
_cell_angle_gamma 90.00
loop_
_space_group_symop_operation_xyz
'x,y,z'
'-x,-y,z'
'-x,y,z'
'x,-y,z'
'x+1/2,y+1/2,z+1/2'
'-x+1/2,-y+1/2,z+1/2'
'-x+1/2,y+1/2,z+1/2'
'x+1/2,-y+1/2,z+1/2'
loop_
_atom_site_label
_atom_site_type_symbol
_atom_site_fract_x
_atom_site_fract_y
_atom_site_fract_z
_atom_site_occupancy
Ca1 Ca 0.000 0.000 0.000 1
Ca2 Ca 0.000 0.500 0.209 1
Zr1 Zr 0.000 0.500 0.796 1
Zn1 Zn 0.000 0.000 0.481 1
# N(E_F) = 1.22 states/eV/atom
# final energy = -3.338 eV per atom
# magnetic moment = 0.0 μB/f.u.
# formation energy = 0.1186 eV per atom

# Pm2Y6Ho2Er PBE-GGA relaxed
data_Pm2Y6Ho2Er
_space_group_name_H-M_alt 'C 1 2/m 1'
_space_group_IT_number 12
_cell_length_a 5.664
_cell_length_b 12.042
_cell_length_c 10.626
_cell_angle_alpha 90.00
_cell_angle_beta 90.05
_cell_angle_gamma 90.00
loop_
_space_group_symop_operation_xyz
'x,y,z'
'-x,-y,-z'
'-x,y,-z'
'x,-y,z'
'x+1/2,y+1/2,z'
'-x+1/2,-y+1/2,-z'
'-x+1/2,y+1/2,-z'
'x+1/2,-y+1/2,z'
loop_
_atom_site_label
_atom_site_type_symbol
_atom_site_fract_x
_atom_site_fract_y
_atom_site_fract_z
_atom_site_occupancy
Pm1 Pm 0.000 0.135 0.000 1
Y1 Y 0.001 0.000 0.296 1
Y2 Y 0.001 0.347 0.211 1
Ho1 Ho 0.000 0.205 0.500 1
Er1 Er 0.000 0.500 0.500 1
# N(E_F) = 1.70 states/eV/atom
# final energy = -5.492 eV per atom
# magnetic moment = 0.0 μB/f.u.
# formation energy = 0.1445 eV per atom

# MgFeSb2 PBE-GGA relaxed
data_MgFeSb2
_space_group_name_H-M_alt 'I -4 m 2'
_space_group_IT_number 119
_space_group_name_Hall 'I -4 -2'
_cell_length_a 4.101
_cell_length_b 4.101
_cell_length_c 10.136
_cell_angle_alpha 90.00
_cell_angle_beta 90.00
_cell_angle_gamma 90.00
loop_
_atom_site_label
_atom_site_type_symbol
_atom_site_fract_x
_atom_site_fract_y
_atom_site_fract_z
_atom_site_occupancy
Mg1 Mg 0.000 0.000 0.000 1
Fe1 Fe 0.000 0.500 0.250 1
Sb1 Sb 0.000 0.000 0.500 1
Sb2 Sb 0.000 0.500 0.750 1
# raw formation energy = 1.1 eV/f.u.
# N(E_F) = 1.29 states/eV/atom
# final energy = -4.313 eV per atom
# relative energy among the computed polymorphs = 0.222 eV per atom
# magnetic moment = 2.7 μB/f.u.

# TiReIO2 PBE-GGA relaxed
data_TiReIO2
_space_group_name_H-M_alt 'P 4/m m m'
_space_group_IT_number 123
_space_group_name_Hall '-P 4 2'
_cell_length_a 3.855
_cell_length_b 3.855
_cell_length_c 6.388
_cell_angle_alpha 90.00
_cell_angle_beta 90.00
_cell_angle_gamma 90.00
loop_
_atom_site_label
_atom_site_type_symbol
_atom_site_fract_x
_atom_site_fract_y
_atom_site_fract_z
_atom_site_occupancy
Ti1 Ti 0.000 0.000 0.000 1
Re1 Re 0.500 0.500 0.500 1
I1 I 0.500 0.500 0.000 1
O1 O 0.000 0.500 0.500 1
# raw formation energy = -1.8 eV/f.u.
# N(E_F) = 0.81 states/eV/atom
# final energy = -6.713 eV per atom
# relative energy among the computed polymorphs = 0.000 eV per atom
# magnetic moment = 2.1 μB/f.u.

# Bi2PdRh2 PBE-GGA relaxed
data_Bi2PdRh2
_space_group_name_H-M_alt 'P 4/m b m'
_space_group_IT_number 127
_space_group_name_Hall '-P 4 2ab'
_cell_length_a 7.417
_cell_length_b 7.417
_cell_length_c 3.562
_cell_angle_alpha 90.00
_cell_angle_beta 90.00
_cell_angle_gamma 90.00
loop_
_atom_site_label
_atom_site_type_symbol
_atom_site_fract_x
_atom_site_fract_y
_atom_site_fract_z
_atom_site_occupancy
Bi1 Bi 0.167 0.333 0.000 1
Pd1 Pd 0.000 0.000 0.500 1
Rh1 Rh 0.135 0.635 0.500 1
# N(E_F) = 0.77 states/eV/atom
# final energy = -5.564 eV per atom
# magnetic moment = 0.0 μB/f.u.
# formation energy = -0.0323 eV per atom